Below is crystalline Rb2NaZrAs at its relaxed geometry, with properties calculated at the PBE level.

Cell lengths 6.7552, 6.7552, 5.5344 Å; angles 90.00, 90.00, 90.00 degrees
Element x y z (fractional)
Rb  0.0000  0.5000  0.0000
Rb  0.5000  0.0000  0.0000
Na  0.0000  0.0000  0.5000
Zr  0.5000  0.5000  0.5000
As  0.0000  0.0000  0.0000

**E_form**: 0.826 eV/atom